No. 1
Computed, not measured: crystalline ZrAlRh at its relaxed geometry at the PBE level of DFT.

abc: 3.0935 3.0935 6.4047
angles: 90.00 90.00 120.00
Closest atoms and distances in Å follow each position.
Atoms (fractional coordinates):
Zr: 0.0000 0.0000 0.0000  3 Rh 2.81, 3 Al 3.00, 6 Zr 3.09
Al: 0.3333 0.6667 0.3757  3 Rh 2.55
Rh: 0.6667 0.3333 0.6607  3 Al 2.55, 3 Zr 2.81

Output
- ρ: 6.9 g/cm3
- Calculated total energy: -6.95 eV/atom

No. 2
Computed, not measured: crystalline Pm3ScO at its relaxed geometry at the PBE level of DFT.

abc: 4.9901 4.9901 4.9901
angles: 90.00 90.00 90.00
Closest atoms and distances in Å follow each position.
Atoms (fractional coordinates):
Pm: 0.0000 0.0000 0.5000  2 O 2.50
Pm: 0.0000 0.5000 0.0000  2 O 2.50
Pm: 0.5000 0.0000 0.0000  2 O 2.50
Sc: 0.5000 0.5000 0.5000  12 Pm 3.53
O: 0.0000 0.0000 0.0000  6 Pm 2.50

Output
- ρ: 6.6 g/cm3
- Formation energy without anion corrections: -1.126 eV per atom

No. 3
Computed, not measured: crystalline ScCoPd at its relaxed geometry at the PBE level of DFT.

abc: 4.8443 5.3021 7.3182
angles: 90.00 90.00 90.00
Closest atoms and distances in Å follow each position.
Atoms (fractional coordinates):
Sc: 0.0000 0.2500 0.1159  6 Pd 2.89-3.11, 6 Co 2.94-3.08, 4 Sc 3.12-3.15
Sc: 0.0000 0.7500 0.8841  6 Pd 2.89-3.11, 6 Co 2.94-3.08, 4 Sc 3.12-3.15
Sc: 0.5000 0.2500 0.3841  6 Pd 2.89-3.11, 6 Co 2.94-3.08, 4 Sc 3.12-3.15
Sc: 0.5000 0.7500 0.6159  6 Pd 2.89-3.11, 6 Co 2.94-3.08, 4 Sc 3.12-3.15
Co: 0.2500 0.2500 0.7500  2 Co 2.42, 4 Pd 2.56
Co: 0.2500 0.7500 0.2500  2 Co 2.42, 4 Pd 2.56
Co: 0.7500 0.2500 0.7500  2 Co 2.42, 4 Pd 2.56
Co: 0.7500 0.7500 0.2500  2 Co 2.42, 4 Pd 2.56
Pd: 0.0000 0.0000 0.5000  4 Co 2.56, 2 Pd 2.65
Pd: 0.0000 0.5000 0.5000  4 Co 2.56, 2 Pd 2.65
Pd: 0.5000 0.0000 0.0000  4 Co 2.56, 2 Pd 2.65
Pd: 0.5000 0.5000 0.0000  4 Co 2.56, 2 Pd 2.65

Output
- ρ: 7.4 g/cm3
- Calculated total energy: -6.69 eV/atom

No. 4
Computed, not measured: crystalline Dy3YAs4 at its relaxed geometry at the PBE level of DFT.

abc: 5.8232 5.8232 5.8232
angles: 90.00 90.00 90.00
Closest atoms and distances in Å follow each position.
Atoms (fractional coordinates):
Dy: 0.0000 0.0000 0.5000  6 As 2.91
Dy: 0.0000 0.5000 0.0000  6 As 2.91
Dy: 0.5000 0.0000 0.0000  6 As 2.91
Y: 0.5000 0.5000 0.5000  6 As 2.91
As: 0.0000 0.0000 0.0000  6 Dy 2.91
As: 0.0000 0.5000 0.5000  4 Dy 2.91, 2 Y 2.91
As: 0.5000 0.0000 0.5000  4 Dy 2.91, 2 Y 2.91
As: 0.5000 0.5000 0.0000  4 Dy 2.91, 2 Y 2.91

Output
- ρ: 7.4 g/cm3
- Polymorph energy (0 for the lowest one): 0 meV/atom

No. 5
Computed, not measured: crystalline SrZn2Cl at its relaxed geometry at the PBE level of DFT.

abc: 7.6242 7.6242 7.6242
angles: 90.00 90.00 90.00
Closest atoms and distances in Å follow each position.
Atoms (fractional coordinates):
Sr: 0.0000 0.0000 0.0000  8 Zn 3.30
Sr: 0.0000 0.5000 0.5000  8 Zn 3.30
Sr: 0.5000 0.0000 0.5000  8 Zn 3.30
Sr: 0.5000 0.5000 0.0000  8 Zn 3.30
Zn: 0.2500 0.2500 0.2500  4 Cl 3.30, 4 Sr 3.30
Zn: 0.2500 0.2500 0.7500  4 Cl 3.30, 4 Sr 3.30
Zn: 0.2500 0.7500 0.2500  4 Cl 3.30, 4 Sr 3.30
Zn: 0.2500 0.7500 0.7500  4 Cl 3.30, 4 Sr 3.30
Zn: 0.7500 0.2500 0.2500  4 Cl 3.30, 4 Sr 3.30
Zn: 0.7500 0.2500 0.7500  4 Cl 3.30, 4 Sr 3.30
Zn: 0.7500 0.7500 0.2500  4 Cl 3.30, 4 Sr 3.30
Zn: 0.7500 0.7500 0.7500  4 Cl 3.30, 4 Sr 3.30
Cl: 0.0000 0.0000 0.5000  8 Zn 3.30
Cl: 0.0000 0.5000 0.0000  8 Zn 3.30
Cl: 0.5000 0.0000 0.0000  8 Zn 3.30
Cl: 0.5000 0.5000 0.5000  8 Zn 3.30

Output
- ρ: 3.8 g/cm3
- Polymorph energy (0 for the lowest one): 490 meV/atom
- Formation energy without anion corrections: -0.248 eV per atom

No. 6
Computed, not measured: crystalline HfSI3 at its relaxed geometry at the PBE level of DFT.

abc: 5.4817 5.4817 5.4817
angles: 90.00 90.00 90.00
Closest atoms and distances in Å follow each position.
Atoms (fractional coordinates):
Hf: 0.0000 0.0000 0.0000  12 I 3.88
S: 0.5000 0.5000 0.5000  6 I 2.74
I: 0.0000 0.5000 0.5000  2 S 2.74
I: 0.5000 0.0000 0.5000  2 S 2.74
I: 0.5000 0.5000 0.0000  2 S 2.74

Output
- ρ: 6.0 g/cm3
- Polymorph energy (0 for the lowest one): 1732 meV/atom
- Formation energy without anion corrections: 0.859 eV per atom

No. 7
Computed, not measured: crystalline SbW2Br at its relaxed geometry at the PBE level of DFT.

abc: 3.1976 3.1976 8.8036
angles: 90.00 90.00 90.00
Closest atoms and distances in Å follow each position.
Atoms (fractional coordinates):
Sb: 0.0000 0.0000 0.0000  4 W 2.98, 4 Sb 3.20
W: 0.0000 0.0000 0.3818  4 W 2.67
W: 0.5000 0.5000 0.2199  4 W 2.67, 4 Sb 2.98
Br: 0.5000 0.5000 0.6050  4 W 3.00, 4 Br 3.20

Output
- ρ: 10.5 g/cm3
- Polymorph energy (0 for the lowest one): 207 meV/atom
- Formation energy without anion corrections: 0.407 eV per atom

No. 8
Computed, not measured: crystalline Mn2CrAg at its relaxed geometry at the PBE level of DFT.

abc: 6.2178 6.2178 6.2178
angles: 90.00 90.00 90.00
Closest atoms and distances in Å follow each position.
Atoms (fractional coordinates):
Mn: 0.2500 0.2500 0.2500  4 Cr 2.69, 4 Ag 2.69
Mn: 0.2500 0.2500 0.7500  4 Cr 2.69, 4 Ag 2.69
Mn: 0.2500 0.7500 0.2500  4 Cr 2.69, 4 Ag 2.69
Mn: 0.2500 0.7500 0.7500  4 Cr 2.69, 4 Ag 2.69
Mn: 0.7500 0.2500 0.2500  4 Cr 2.69, 4 Ag 2.69
Mn: 0.7500 0.2500 0.7500  4 Cr 2.69, 4 Ag 2.69
Mn: 0.7500 0.7500 0.2500  4 Cr 2.69, 4 Ag 2.69
Mn: 0.7500 0.7500 0.7500  4 Ag 2.69, 4 Cr 2.69
Cr: 0.0000 0.0000 0.0000  8 Mn 2.69
Cr: 0.0000 0.5000 0.5000  8 Mn 2.69
Cr: 0.5000 0.0000 0.5000  8 Mn 2.69
Cr: 0.5000 0.5000 0.0000  8 Mn 2.69
Ag: 0.0000 0.0000 0.5000  8 Mn 2.69
Ag: 0.0000 0.5000 0.0000  8 Mn 2.69
Ag: 0.5000 0.0000 0.0000  8 Mn 2.69
Ag: 0.5000 0.5000 0.5000  8 Mn 2.69

Output
- ρ: 7.5 g/cm3
- Polymorph energy (0 for the lowest one): 92 meV/atom

No. 9
Computed, not measured: crystalline Cs2Ta3NbO12 at its relaxed geometry at the PBE level of DFT.

abc: 7.5438 7.5438 7.5438
angles: 59.85 59.85 59.85
Closest atoms and distances in Å follow each position.
Atoms (fractional coordinates):
Cs: 0.1247 0.1247 0.1247  6 O 3.34
Cs: 0.8753 0.8753 0.8753  6 O 3.34
Ta: 0.0000 0.5000 0.5000  6 O 1.99
Ta: 0.5000 0.0000 0.5000  6 O 1.99
Ta: 0.5000 0.5000 0.0000  6 O 1.99
Nb: 0.5000 0.5000 0.5000  6 O 2.01
O: 0.1867 0.5620 0.5620  1 Ta 1.99, 1 Nb 2.01
O: 0.1889 0.1889 0.5621  2 Ta 1.99
O: 0.1889 0.5621 0.1889  2 Ta 1.99
O: 0.4380 0.4380 0.8133  1 Ta 1.99, 1 Nb 2.01
O: 0.4379 0.8111 0.8111  2 Ta 1.99
O: 0.4380 0.8133 0.4380  1 Ta 1.99, 1 Nb 2.01
O: 0.5620 0.1867 0.5620  1 Ta 1.99, 1 Nb 2.01
O: 0.5621 0.1889 0.1889  2 Ta 1.99
O: 0.5620 0.5620 0.1867  1 Ta 1.99, 1 Nb 2.01
O: 0.8111 0.4379 0.8111  2 Ta 1.99
O: 0.8111 0.8111 0.4379  2 Ta 1.99
O: 0.8133 0.4380 0.4380  1 Ta 1.99, 1 Nb 2.01

Output
- ρ: 6.0 g/cm3
- Formation energy without anion corrections: -2.469 eV per atom

No. 10
Computed, not measured: crystalline Y9U5O28 at its relaxed geometry at the PBE level of DFT.

abc: 6.5358 7.5665 11.8858
angles: 73.10 80.43 73.89
Closest atoms and distances in Å follow each position.
Atoms (fractional coordinates):
Y: 0.0000 0.0000 0.0000  8 O 2.32-2.40
Y: 0.1420 0.3570 0.7149  8 O 2.33-2.44
Y: 0.1425 0.8572 0.7135  8 O 2.33-2.39
Y: 0.2817 0.2153 0.4307  8 O 2.33-2.39
Y: 0.4324 0.5693 0.1432  8 O 2.33-2.39
Y: 0.5676 0.4307 0.8568  8 O 2.33-2.39
Y: 0.7183 0.7847 0.5693  8 O 2.33-2.39
Y: 0.8575 0.1428 0.2865  8 O 2.33-2.39
Y: 0.8580 0.6430 0.2851  8 O 2.33-2.44
U: 0.0000 0.5000 0.0000  8 O 2.14-2.37
U: 0.2818 0.7152 0.4301  8 O 2.13-2.33
U: 0.4292 0.0711 0.1461  8 O 2.15-2.39
U: 0.5708 0.9289 0.8539  8 O 2.15-2.39
U: 0.7182 0.2848 0.5699  8 O 2.13-2.33
O: 0.0586 0.1780 0.6071  1 U 2.22, 3 Y 2.33-2.34
O: 0.0766 0.6698 0.0960  1 U 2.14, 2 Y 2.35-2.37
O: 0.0795 0.6729 0.6020  1 U 2.23, 3 Y 2.33-2.34
O: 0.0910 0.1771 0.1099  2 U 2.20-2.37, 2 Y 2.36-2.37
O: 0.2028 0.5383 0.8348  1 U 2.17, 3 Y 2.33-2.39
O: 0.2214 0.0264 0.3183  2 U 2.25-2.30, 2 Y 2.35-2.36, 1 O 2.50
O: 0.2243 0.5451 0.3289  1 U 2.14, 2 Y 2.38-2.39
O: 0.2325 0.0294 0.8286  1 U 2.17, 3 Y 2.32-2.41
O: 0.3534 0.8837 0.5272  1 U 2.13, 2 Y 2.38-2.39
O: 0.3627 0.3742 0.0393  2 U 2.24-2.37, 2 Y 2.34-2.35
O: 0.3676 0.8992 0.0424  2 U 2.18-2.39, 2 Y 2.39-2.40
O: 0.3699 0.3976 0.5382  2 U 2.25-2.33, 2 Y 2.36, 1 O 2.50
O: 0.4918 0.2404 0.2482  1 U 2.15, 3 Y 2.35-2.39
O: 0.4940 0.7601 0.2545  2 U 2.29-2.30, 2 Y 2.35-2.37, 1 O 2.50
O: 0.5060 0.2399 0.7455  2 U 2.29-2.30, 2 Y 2.35-2.37, 1 O 2.50
O: 0.5082 0.7596 0.7518  1 U 2.15, 3 Y 2.35-2.39
O: 0.6301 0.6024 0.4618  2 U 2.25-2.33, 2 Y 2.36, 1 O 2.50
O: 0.6324 0.1008 0.9576  2 U 2.18-2.39, 2 Y 2.39-2.40
O: 0.6373 0.6258 0.9607  2 U 2.24-2.37, 2 Y 2.34-2.35
O: 0.6466 0.1163 0.4728  1 U 2.13, 2 Y 2.38-2.39
O: 0.7675 0.9706 0.1714  1 U 2.17, 3 Y 2.32-2.41
O: 0.7757 0.4549 0.6711  1 U 2.14, 2 Y 2.38-2.39
O: 0.7786 0.9736 0.6817  2 U 2.25-2.30, 2 Y 2.35-2.36, 1 O 2.50
O: 0.7972 0.4617 0.1652  1 U 2.17, 3 Y 2.33-2.39
O: 0.9090 0.8229 0.8901  2 U 2.20-2.37, 2 Y 2.36-2.37
O: 0.9205 0.3271 0.3980  1 U 2.23, 3 Y 2.33-2.34
O: 0.9234 0.3302 0.9040  1 U 2.14, 2 Y 2.35-2.37
O: 0.9414 0.8220 0.3929  1 U 2.22, 3 Y 2.33-2.34

Output
- ρ: 7.5 g/cm3
- Formation energy without anion corrections: -3.441 eV per atom

No. 11
Computed, not measured: crystalline NbInH3 at its relaxed geometry at the PBE level of DFT.

abc: 3.7641 3.7641 3.7641
angles: 90.00 90.00 90.00
Closest atoms and distances in Å follow each position.
Atoms (fractional coordinates):
Nb: 0.0000 0.0000 0.0000  12 H 2.66
In: 0.5000 0.5000 0.5000  6 H 1.88
H: 0.0000 0.5000 0.5000  2 In 1.88
H: 0.5000 0.0000 0.5000  2 In 1.88
H: 0.5000 0.5000 0.0000  2 In 1.88

Output
- ρ: 6.6 g/cm3
- Polymorph energy (0 for the lowest one): 821 meV/atom

No. 12
Computed, not measured: crystalline Pm4NdHo2Th at its relaxed geometry at the PBE level of DFT.

abc: 5.0986 5.1055 10.2655
angles: 90.00 90.00 90.00
Closest atoms and distances in Å follow each position.
Atoms (fractional coordinates):
Pm: 0.0000 0.0000 0.2454  4 Ho 3.58-3.65, 2 Th 3.59, 4 Pm 3.61, 2 Nd 3.65
Pm: 0.0000 0.0000 0.7546  4 Ho 3.58-3.65, 2 Th 3.59, 4 Pm 3.61, 2 Nd 3.65
Pm: 0.5000 0.5000 0.2465  2 Th 3.59, 4 Ho 3.59-3.64, 4 Pm 3.61, 2 Nd 3.65
Pm: 0.5000 0.5000 0.7535  2 Th 3.59, 4 Ho 3.59-3.64, 4 Pm 3.61, 2 Nd 3.65
Nd: 0.5000 0.0000 0.5000  4 Ho 3.61, 8 Pm 3.65
Ho: 0.0000 0.5000 0.5000  4 Nd 3.61, 8 Pm 3.64-3.65
Ho: 0.5000 0.0000 0.0000  8 Pm 3.58-3.59, 4 Th 3.61
Th: 0.0000 0.5000 0.0000  8 Pm 3.59, 4 Ho 3.61

Output
- ρ: 8.0 g/cm3
- Calculated total energy: -5.01 eV/atom

Among the records above, which one has the highest ρ? SbW2Br

Which of these has the lowest ρ? SrZn2Cl

The highest ρ belongs to which entry? SbW2Br